! PBE-GGA InH6Ir2Pd, relaxed; values from VASP
! N(E_F): 1.95 states/eV/f.u.
! Final energy: -4.486 eV per atom
! V: 9.23 Å³/atom
! Magnetization: 0.000 μB per formula unit
&SYSTEM
  ibrav = 0, nat = 20, ntyp = 4
/
ATOMIC_SPECIES
In 114.82 In.upf
H 1.01 H.upf
Ir 192.22 Ir.upf
Pd 106.42 Pd.upf
CELL_PARAMETERS angstrom
3.860 -4.419 0.000
3.860 4.419 0.000
-0.590 0.000 5.412
ATOMIC_POSITIONS angstrom
In 3.418 3.029 4.059
In 3.713 -3.029 1.353
H 2.380 2.065 1.835
H 1.393 0.424 3.061
H 1.688 -0.424 0.355
H 2.661 0.710 4.847
H 5.046 2.065 0.871
H 2.956 -0.710 2.141
H 4.174 0.710 3.271
H 2.085 -2.065 4.541
H 4.469 -0.710 0.565
H 5.442 0.424 5.058
H 5.738 -0.424 2.351
H 4.750 -2.065 3.578
Ir 1.036 1.064 4.593
Ir 1.332 -1.064 1.887
Ir 5.799 1.064 3.526
Ir 6.094 -1.064 0.820
Pd 3.713 0.840 1.353
Pd 3.418 -0.840 4.059